4
Lattice="3.405 0.000 0.000 0.000 3.609 0.000 -1.690 0.000 6.473" Properties=species:S:1:pos:R:3 comment="PBE TlCr2As, optimized geometry" e_tot_ev_per_atom=-6.2001 sg="No. 6" crystal_system=monoclinic polymorph_energy_mev_per_atom=106 ef_ev_per_fu=1.46 pbc="T T T"
Tl 0.000 0.000 0.000
Cr 0.016 0.000 3.008
Cr 0.014 1.804 4.714
As 1.718 1.804 2.684